[1]
First-principles (PBE-GGA) data for PaZnP2 after structural relaxation, as listed in Alexandria via LeMat-Bulk.

a = 4.2075 Å, b = 4.2075 Å, c = 7.6276 Å
α = 73.99°, β = 73.99°, γ = 60.00°
Last column: nearest neighbours and their distance in Å.
Fractional positions:
Zn1 0.0000 0.0000 0.0000  2 P 2.24
P1 0.8965 0.8965 0.3104  1 Zn 2.24
P2 0.1035 0.1035 0.6896  1 Zn 2.24
Pa1 0.5000 0.5000 0.5000  6 P 2.79

Computed properties:
energy of formation = -151 kJ/mol of formula units
symmetry = R-3m (166)
calculated volume = 111 Å³/f.u.

---

[2]
First-principles (PBE-GGA) data for Rb2In6Hg3 after structural relaxation, as listed in Alexandria via LeMat-Bulk.

a = 4.7672 Å, b = 9.2156 Å, c = 9.2156 Å
α = 120.00°, β = 90.00°, γ = 90.00°
Last column: nearest neighbours and their distance in Å.
Fractional positions:
In1 0.5000 0.0000 0.2775  3 Hg 3.00-3.25, 4 In 3.29
In2 0.0000 0.1944 0.1944  2 Hg 3.03, 6 In 3.10-3.29
In3 0.5000 0.2775 0.0000  3 Hg 3.00-3.25, 4 In 3.29
In4 0.0000 0.0000 0.8056  2 Hg 3.03, 6 In 3.10-3.29
In5 0.5000 0.7225 0.7225  3 Hg 3.00-3.25, 4 In 3.29
In6 0.0000 0.8056 0.0000  2 Hg 3.03, 6 In 3.10-3.29
Rb1 0.0000 0.6667 0.3333  6 Hg 3.69, 9 In 3.87-4.12
Rb2 0.0000 0.3333 0.6667  6 Hg 3.69, 9 In 3.87-4.12
Hg1 0.5000 0.6025 0.0000  5 In 3.00-3.25
Hg2 0.5000 0.0000 0.6025  5 In 3.00-3.25
Hg3 0.5000 0.3975 0.3975  5 In 3.00-3.25

Computed properties:
energy of formation = -138 kJ/mol of formula units
symmetry = P-62m (189)
calculated volume = 351 Å³/f.u.

---

[3]
First-principles (PBE-GGA) data for SmHfCu2 after structural relaxation, as listed in Alexandria via LeMat-Bulk.

a = 4.5002 Å, b = 4.5002 Å, c = 5.4276 Å
α = 65.51°, β = 65.51°, γ = 60.00°
Last column: nearest neighbours and their distance in Å.
Fractional positions:
Hf1 0.5000 0.5000 0.5000  6 Cu 2.66
Cu1 0.2051 0.2051 0.3847  3 Hf 2.66, 3 Cu 2.82, 1 Sm 2.93
Cu2 0.7949 0.7949 0.6153  3 Hf 2.66, 3 Cu 2.82, 1 Sm 2.93
Sm1 0.0000 0.0000 0.0000  8 Cu 2.93-3.18

Computed properties:
energy of formation = -21 kJ/mol of formula units
symmetry = R-3m (166)
calculated volume = 84 Å³/f.u.
ΔE to the lowest computed polymorph = 65 meV/atom

---

[4]
First-principles (PBE-GGA) data for Sr2HgRhO6 after structural relaxation, as listed in Alexandria via LeMat-Bulk.

a = 5.9882 Å, b = 6.4299 Å, c = 7.6788 Å
α = 90.00°, β = 89.05°, γ = 90.00°
Last column: nearest neighbours and their distance in Å.
Fractional positions:
Hg1 0.0000 0.5000 0.5000  2 O 2.11
Hg2 0.5000 0.0000 0.0000  2 O 2.11
O1 0.1452 0.2410 0.0652  1 Rh 1.95
O2 0.6187 0.0575 0.2527  1 Rh 2.05, 1 Hg 2.11
O3 0.2290 0.1530 0.4519  1 Rh 1.94
O4 0.3813 0.9425 0.7473  1 Rh 2.05, 1 Hg 2.11
O5 0.7290 0.3470 0.9519  1 Rh 1.94
O6 0.2710 0.6530 0.0481  1 Rh 1.94
O7 0.6452 0.2590 0.5652  1 Rh 1.95
O8 0.1187 0.4425 0.7527  1 Rh 2.05, 1 Hg 2.11
O9 0.7710 0.8470 0.5481  1 Rh 1.94
O10 0.8548 0.7590 0.9348  1 Rh 1.95
O11 0.8813 0.5575 0.2473  1 Rh 2.05, 1 Hg 2.11
O12 0.3548 0.7410 0.4348  1 Rh 1.95
Rh1 0.5000 0.0000 0.5000  6 O 1.94-2.05
Rh2 0.0000 0.5000 0.0000  6 O 1.94-2.05
Sr1 0.5116 0.5712 0.7494  5 O 2.49-2.74
Sr2 0.9884 0.0712 0.7506  5 O 2.49-2.74
Sr3 0.0116 0.9288 0.2494  5 O 2.49-2.74
Sr4 0.4884 0.4288 0.2506  5 O 2.49-2.74

Computed properties:
formation energy (no corrections) = -1.42 eV per atom
symmetry = P2_1/c (14)
calculated volume = 148 Å³/f.u.

---

[5]
First-principles (PBE-GGA) data for Rb4CdAg after structural relaxation, as listed in Alexandria via LeMat-Bulk.

a = 12.2362 Å, b = 12.2362 Å, c = 12.2362 Å
α = 60.00°, β = 60.00°, γ = 60.00°
Last column: nearest neighbours and their distance in Å.
Fractional positions:
Cd1 0.4570 0.1810 0.1810  3 Cd 3.38
Cd2 0.1810 0.1810 0.4570  3 Cd 3.38
Cd3 0.1810 0.1810 0.1810  3 Cd 3.38
Cd4 0.1810 0.4570 0.1810  3 Cd 3.38
Rb1 0.9513 0.5487 0.9513  2 Ag 3.64
Rb2 0.9513 0.5487 0.5487  2 Ag 3.64
Rb3 0.8043 0.8043 0.1957  10 Rb 4.30-4.79, 2 Ag 4.30, 2 Cd 4.44
Rb4 0.5487 0.9513 0.5487  2 Ag 3.64
Rb5 0.8124 0.3959 0.3959  3 Ag 3.65
Rb6 0.3959 0.3959 0.3959  3 Ag 3.65
Rb7 0.8043 0.1957 0.8043  10 Rb 4.30-4.79, 2 Ag 4.30, 2 Cd 4.44
Rb8 0.1957 0.8043 0.1957  10 Rb 4.30-4.79, 2 Ag 4.30, 2 Cd 4.44
Rb9 0.5487 0.5487 0.9513  2 Ag 3.64
Rb10 0.3959 0.8124 0.3959  3 Ag 3.65
Rb11 0.1957 0.1957 0.8043  10 Rb 4.30-4.79, 2 Ag 4.30, 2 Cd 4.44
Rb12 0.5487 0.9513 0.9513  2 Ag 3.64
Rb13 0.8043 0.1957 0.1957  10 Rb 4.30-4.79, 2 Ag 4.30, 2 Cd 4.44
Rb14 0.1957 0.8043 0.8043  10 Rb 4.30-4.79, 2 Ag 4.30, 2 Cd 4.44
Rb15 0.3959 0.3959 0.8124  3 Ag 3.65
Rb16 0.9513 0.9513 0.5487  2 Ag 3.64
Ag1 0.6070 0.6070 0.1789  6 Rb 3.64-3.65
Ag2 0.6070 0.6070 0.6070  6 Rb 3.64-3.65
Ag3 0.1789 0.6070 0.6070  6 Rb 3.64-3.65
Ag4 0.6070 0.1789 0.6070  6 Rb 3.64-3.65

Computed properties:
energy of formation = 23 kJ/mol of formula units
symmetry = F-43m (216)
calculated volume = 324 Å³/f.u.

---

[6]
First-principles (PBE-GGA) data for Sm2Ho6Cd after structural relaxation, as listed in Alexandria via LeMat-Bulk.

a = 5.4181 Å, b = 9.8958 Å, c = 10.2345 Å
α = 90.00°, β = 89.99°, γ = 90.00°
Last column: nearest neighbours and their distance in Å.
Fractional positions:
Sm1 0.0000 0.6959 0.2371  10 Ho 3.29-3.61
Sm2 0.0000 0.3041 0.7629  10 Ho 3.29-3.61
Sm3 0.5000 0.1959 0.2629  10 Ho 3.29-3.61
Sm4 0.5000 0.8041 0.7371  10 Ho 3.29-3.61
Ho1 0.5000 0.8636 0.3890  2 Cd 3.23, 3 Ho 3.37-3.53, 4 Sm 3.53-3.61
Ho2 0.0000 0.3636 0.1110  2 Cd 3.23, 3 Ho 3.37-3.53, 4 Sm 3.53-3.61
Ho3 0.0000 0.6364 0.8890  2 Cd 3.23, 3 Ho 3.37-3.53, 4 Sm 3.53-3.61
Ho4 0.0001 0.6783 0.5626  1 Cd 3.25, 3 Sm 3.34-3.48, 3 Ho 3.37-3.56
Ho5 0.5000 0.5223 0.3218  3 Sm 3.29-3.32, 1 Cd 3.30, 4 Ho 3.45-3.67
Ho6 0.0000 0.9777 0.8218  3 Sm 3.29-3.32, 1 Cd 3.30, 4 Ho 3.45-3.67
Ho7 0.9999 0.3217 0.4374  1 Cd 3.25, 3 Sm 3.34-3.48, 3 Ho 3.37-3.56
Ho8 0.5000 0.1364 0.6110  2 Cd 3.23, 3 Ho 3.37-3.53, 4 Sm 3.53-3.61
Ho9 0.4999 0.1783 0.9373  1 Cd 3.25, 3 Sm 3.34-3.48, 3 Ho 3.37-3.56
Ho10 0.5001 0.8217 0.0627  1 Cd 3.25, 3 Sm 3.34-3.48, 3 Ho 3.37-3.56
Ho11 0.0000 0.0223 0.1782  3 Sm 3.29-3.32, 1 Cd 3.30, 4 Ho 3.45-3.67
Ho12 0.5000 0.4777 0.6782  3 Sm 3.29-3.32, 1 Cd 3.30, 4 Ho 3.45-3.67
Cd1 0.5000 0.5000 0.0000  8 Ho 3.23-3.30
Cd2 0.0000 0.0000 0.5000  8 Ho 3.23-3.30

Computed properties:
energy of formation = 15 kJ/mol of formula units
symmetry = Pnnm (58)
calculated volume = 274 Å³/f.u.

---

Calculated total magnetization (μB per cell), listed in the same order as above: 0.741 0.000 0.000 5.994 0.000 0.001